Computed, not measured: a relaxed structure of SrNbSe3 at the PBE-GGA level of DFT.

Computed properties:
ΔE_f (raw), eV per atom: 0.873
Raw total energy, eV per atom: -3.57
Offset from the most stable computed form, meV/atom: 1917.7
Fermi-level density of states, states/eV/f.u.: 21.87

abc: 5.522 5.522 5.522
angles: 90.00 90.00 90.00
Each line ends with the local moment (μB).
Positions (direct):
Sr: 0.000 0.000 0.000  -0.01
Nb: 0.500 0.500 0.500  -0.24
Se: 0.000 0.500 0.000  -0.01
Se: 0.000 0.000 0.500  -0.05
Se: 0.500 0.000 0.000  0.00